Material: CoTeO3
Method: DFT, GGA+U
State: relaxed

a = 5.9851 Å, b = 7.4463 Å, c = 5.3086 Å
α = 90.00°, β = 90.00°, γ = 90.00°
Last column: nearest neighbours and their distance in Å.
Space group Pnma (No. 62)
Asymmetric unit:
Co (0.0000, 0.0000, 0.0000)  6 O 2.07-2.25
Te (0.0213, 0.2500, 0.4859)  3 O 1.93-1.96
O (0.0528, 0.7500, 0.1597)  1 Te 1.93, 2 Co 2.07
O (0.1813, 0.5627, 0.6386)  1 Te 1.96, 1 Co 2.10

Output
* electronic total energy: -5.646 eV/atom
* ρ: 6.58 g/cm3